# 1
Compound: YTc2Hg
Source: the Alexandria database
Functional: PBE
Structure: optimized geometry

Formation enthalpy at 0 K: 16 meV per atom
Calculated volume: 77 Å³/f.u.

Unit cell a=3.155 b=3.155 c=7.767 alpha=90.00 beta=90.00 gamma=90.00
Fractional coordinates of all 4 atoms:
Y 0.000 0.000 0.000
Tc 0.000 0.000 0.562
Tc 0.500 0.500 0.729
Hg 0.500 0.500 0.302

# 2
Compound: YTc2Hg
Source: the Alexandria database
Functional: PBE
Structure: optimized geometry

Formation enthalpy at 0 K: 339 meV per atom
Calculated volume: 79 Å³/f.u.

Unit cell a=9.448 b=9.448 c=9.448 alpha=19.07 beta=19.07 gamma=19.07
Fractional coordinates of all 4 atoms:
Y 0.000 0.000 0.000
Tc 0.482 0.482 0.482
Tc 0.751 0.751 0.751
Hg 0.236 0.236 0.236

# 3
Compound: Y3TcHg
Source: the Alexandria database
Functional: PBE
Structure: optimized geometry

Formation enthalpy at 0 K: 97 meV per atom
Distance to the lowest polymorph of the same formula: 0.00 kJ/mol of atoms
Calculated volume: 152 Å³/f.u.

Unit cell a=5.337 b=5.337 c=5.337 alpha=90.00 beta=90.00 gamma=90.00
Fractional coordinates of all 5 atoms:
Y 0.000 0.000 0.500
Y 0.000 0.500 0.000
Y 0.500 0.000 0.000
Tc 0.000 0.000 0.000
Hg 0.500 0.500 0.500

# 4
Compound: YTc2Hg
Source: the Alexandria database
Functional: PBE
Structure: optimized geometry

Formation enthalpy at 0 K: 469 meV per atom
Calculated volume: 76 Å³/f.u.

Unit cell a=5.503 b=5.503 c=5.503 alpha=141.95 beta=131.24 gamma=63.47
Fractional coordinates of all 4 atoms:
Y 0.000 0.000 0.000
Tc 0.251 0.751 0.500
Tc 0.749 0.249 0.500
Hg 0.500 0.500 0.000

# 5
Compound: YTc2Hg
Source: the Alexandria database
Functional: PBE
Structure: optimized geometry

Formation enthalpy at 0 K: 338 meV per atom
Calculated volume: 74 Å³/f.u.

Unit cell a=4.114 b=4.114 c=4.401 alpha=90.00 beta=90.00 gamma=90.00
Fractional coordinates of all 4 atoms:
Y 0.000 0.000 0.000
Tc 0.000 0.500 0.500
Tc 0.500 0.000 0.500
Hg 0.500 0.500 0.000

# 6
Compound: YTc2Hg
Source: the Alexandria database
Functional: PBE
Structure: optimized geometry

Formation enthalpy at 0 K: 187 meV per atom
Calculated volume: 79 Å³/f.u.

Unit cell a=5.304 b=5.304 c=5.304 alpha=137.66 beta=126.57 gamma=70.43
Fractional coordinates of all 4 atoms:
Y 0.000 0.000 0.000
Tc 0.552 0.552 0.000
Tc 0.725 0.225 0.500
Hg 0.280 0.780 0.500

Number 1: magnetization 0.00 μB/atom. Number 2: magnetization 0.00 μB/atom. Number 3: magnetization 0.00 μB/atom. Number 4: magnetization 0.00 μB/atom. Number 5: magnetization 0.00 μB/atom. Number 6: magnetization 0.00 μB/atom.